Computed, not measured: an optimized crystal structure of Li6Mg5Zn2 at the PBE level of DFT.

Geometry as CIF:
```
data_Li6Mg5Zn2
_space_group_name_H-M_alt 'P b a m'
_space_group_IT_number 55
_space_group_name_Hall '-P 2 2ab'
_cell_length_a 9.238
_cell_length_b 19.347
_cell_length_c 3.003
_cell_angle_alpha 90.00
_cell_angle_beta 90.00
_cell_angle_gamma 90.00
loop_
_atom_site_label
_atom_site_fract_x
_atom_site_fract_y
_atom_site_fract_z
Li1 0.005 0.115 0.000
Li2 0.164 0.385 0.000
Li3 0.165 0.640 0.500
Mg1 0.000 0.500 0.500
Mg2 0.086 0.250 0.500
Mg3 0.168 0.001 0.500
Zn1 0.164 0.767 0.000
```

Output
- Magnetization: 0.000 μB/atom
- DFT formation energy: -0.26 kcal/mol of atoms
- Volume: 20.65 Å³/atom